Entry from Alexandria: PrSm2NpSb4 after structural relaxation (PBE).

Cell and atoms, written as POSCAR:
```
PrSm2NpSb4
1.0
4.474 0.000 0.000
0.000 7.753 0.150
0.000 -2.709 7.263
Sb Sm Np Pr
4 2 1 1
Direct
0.500 0.256 0.251
0.000 0.255 0.752
0.500 0.744 0.749
0.000 0.745 0.248
0.000 0.500 0.500
0.500 0.000 0.500
0.500 0.500 0.000
0.000 0.000 0.000
```

Properties
Magnetic moment ... 3.892 μB per cell
Formation energy without anion corrections ... -0.9253 eV/atom